# 1
A relaxed Ho2RuCl crystal, computed with PBE.

POSCAR file:
```
Ho2RuCl
1.0
3.905 0.000 0.000
-1.953 3.382 0.000
0.000 0.000 22.269
Ho Ru Cl
6 3 3
Direct
0.000 0.000 0.234 Ho
0.000 0.000 0.766 Ho
0.333 0.667 0.432 Ho
0.333 0.667 0.901 Ho
0.667 0.333 0.099 Ho
0.667 0.333 0.568 Ho
0.000 0.000 0.500 Ru
0.333 0.667 0.167 Ru
0.667 0.333 0.833 Ru
0.000 0.000 0.000 Cl
0.333 0.667 0.667 Cl
0.667 0.333 0.333 Cl
```

***

# 2
A relaxed PIr2Se crystal, computed with PBE.

POSCAR file:
```
PIr2Se
1.0
2.809 0.000 0.000
0.000 4.964 0.000
0.000 0.000 9.996
P Ir Se
2 4 2
Direct
0.000 0.000 0.000 P
0.500 0.500 0.000 P
0.000 0.000 0.567 Ir
0.000 0.500 0.811 Ir
0.500 0.000 0.811 Ir
0.500 0.500 0.567 Ir
0.000 0.500 0.357 Se
0.500 0.000 0.357 Se
```

***

Raw formation energy for every record listed, in sequence, given in eV per atom: -0.858, 0.380.